Here is crystalline V2ZnO4 at its relaxed geometry from Alexandria. Energies are from PBE with a Hubbard U.

Cell: 5.967 10.301 5.190 Å, 90.00 90.00 90.00°
Element x y z (fractional)
V: 0.000 0.000 0.000
V: 0.000 0.500 0.000
V: 0.250 0.017 0.487
V: 0.250 0.483 0.487
V: 0.500 0.000 0.000
V: 0.500 0.500 0.000
V: 0.750 0.517 0.513
V: 0.750 0.983 0.513
Zn: 0.250 0.250 0.852
Zn: 0.250 0.750 0.532
Zn: 0.750 0.250 0.468
Zn: 0.750 0.750 0.148
O: 0.004 0.613 0.335
O: 0.004 0.887 0.335
O: 0.250 0.109 0.142
O: 0.250 0.391 0.142
O: 0.250 0.598 0.806
O: 0.250 0.902 0.806
O: 0.496 0.613 0.335
O: 0.496 0.887 0.335
O: 0.504 0.113 0.665
O: 0.504 0.387 0.665
O: 0.750 0.098 0.194
O: 0.750 0.402 0.194
O: 0.750 0.609 0.858
O: 0.750 0.891 0.858
O: 0.996 0.113 0.665
O: 0.996 0.387 0.665

## Properties
Crystal system   orthorhombic
Energy   -6.8934 eV per atom
Energy above the most stable polymorph in this dataset   160 meV/atom